11
Lattice="6.3868 0.7470 -1.1409 -1.5583 6.2387 -1.1409 0.2503 0.3622 8.7479" Properties=species:S:1:pos:R:3 comment="PBE-GGA Tb7Dy2Th2, optimized geometry" vol_a3_per_fu=363.60 formation_enthalpy_0k_mev_per_atom=144 dos_at_fermi_per_ev_cell=17.94 pbc="T T T"
Tb 0.8242 1.1925 3.2579
Tb 5.0399 4.2010 0.1025
Tb 2.9301 1.1485 6.3636
Tb 0.0000 0.0000 0.0000
Tb 2.1487 6.1994 0.1025
Tb 4.2546 6.1554 3.2082
Tb 0.0389 3.1469 6.3636
Dy 1.9173 2.7739 0.4518
Dy 3.1615 4.5740 6.0143
Th 1.1479 4.6357 3.2331
Th 3.9309 2.7121 3.2331